## Li3Dy3TiTe8 (PBE-GGA)

Data for Li3Dy3TiTe8 after structural relaxation.

Calculated values
The calculation puts the density of states at the Fermi level at 0.8 states/eV per cell. The calculation puts the uncorrected formation energy at -17.0 eV per formula unit.

Cell lengths 8.526, 8.525, 8.623 Å; angles 119.66, 90.00, 120.00 degrees
Fractional coordinates of all 15 atoms:
Te1 0.764 0.994 0.259
Te2 0.764 0.529 0.259
Te3 0.247 0.494 0.241
Te4 0.236 0.006 0.741
Te5 0.771 0.006 0.741
Te6 0.236 0.471 0.741
Te7 0.229 0.994 0.259
Te8 0.753 0.506 0.759
Ti1 0.000 0.000 0.500
Li1 0.000 0.000 0.000
Li2 0.000 0.500 0.000
Li3 0.500 0.500 0.000
Dy1 0.000 0.500 0.500
Dy2 0.500 0.000 0.500
Dy3 0.500 0.500 0.500